Density functional theory data (PBE) for a relaxed structure of LaHoSc2.

* excess energy over the best structure of this formula in the dataset: 0.027 eV per atom
* spin magnetization: 0.00 μB/atom
* N(E_F): 16.1 states/eV per cell
* DFT total energy: -43.66 eV/cell
* space group: Imm2, No. 44
* formation enthalpy at 0 K: 0.08 eV/atom
* density: 5.60 g/cm³

Lattice parameters (Å, degrees): 4.8961 4.9381 9.6496 90.00 90.00 90.00
Last column: nearest neighbours and their distance in Å.
Fractional positions:
1 La 0.0000 0.0000 0.0000  8 Sc 3.44-3.48, 4 Ho 3.44-3.45
2 La 0.5000 0.5000 0.5000  8 Sc 3.44-3.48, 4 Ho 3.44-3.45
3 Ho 0.0000 0.5000 0.7509  8 Sc 3.43-3.48, 4 La 3.44-3.45
4 Ho 0.5000 0.0000 0.2509  8 Sc 3.43-3.48, 4 La 3.44-3.45
5 Sc 0.0000 0.0000 0.5004  4 Sc 3.43-3.46, 4 Ho 3.43-3.46, 4 La 3.48
6 Sc 0.0000 0.5000 0.2495  4 Sc 3.43-3.46, 4 La 3.44-3.45, 4 Ho 3.48
7 Sc 0.5000 0.0000 0.7495  4 Sc 3.43-3.46, 4 La 3.44-3.45, 4 Ho 3.48
8 Sc 0.5000 0.5000 0.0004  4 Sc 3.43-3.46, 4 Ho 3.43-3.46, 4 La 3.48